5
Lattice="5.2403 0.0000 0.0000 0.0000 5.9264 0.0000 0.0000 0.0000 5.9264" Properties=species:S:1:pos:R:3 comment="BaLi2BeTl (meta-GGA SCAN, single point on PBEsol structure)" vol_a3_per_cell=184.05 sg="P4/mmm, No. 123" total_energy_ev_per_atom=-22.999 e_form_ev_per_atom=1.209 pbc="T T T"
Be 2.6201 0.0000 0.0000
Ba 0.0000 0.0000 0.0000
Li 0.0000 2.9632 0.0000
Li 0.0000 0.0000 2.9632
Tl 2.6201 2.9632 2.9632

4
Lattice="-2.8069 -1.1336 -3.4102 2.2326 -3.9409 -0.5276 -3.2758 -2.3200 3.4675" Properties=species:S:1:pos:R:3 comment="BaMg2Be (meta-GGA SCAN, single point on PBEsol structure)" vol_a3_per_cell=110.30 sg="P4/mmm, No. 123" total_energy_ev_per_atom=-12.942 e_form_ev_per_atom=0.521 pbc="T T T"
Mg -1.4035 -0.5668 -1.7051
Be -1.6379 -1.1600 1.7338
Ba -1.9251 -3.6973 -0.2351
Mg 1.1163 -1.9704 -0.2638

4
Lattice="-0.0159 -3.2822 -0.0682 6.0045 -0.0397 0.5105 -3.0423 -0.0934 5.2011" Properties=species:S:1:pos:R:3 comment="BaMg2Be (meta-GGA SCAN, single point on PBEsol structure)" vol_a3_per_cell=107.65 sg="Cmmm, No. 65" total_energy_ev_per_atom=-12.773 e_form_ev_per_atom=0.689 pbc="T T T"
Be 1.4732 -1.7076 2.8217
Mg -1.5211 -0.0467 2.6006
Ba -0.0079 -1.6411 -0.0341
Mg 3.0022 -0.0198 0.2552